Entry 1:
Computed, not measured: crystalline SnP2Pb at its relaxed geometry at the PBE level of DFT.

The structure in CIF format:
```
data_SnP2Pb
_cell_length_a 7.0764
_cell_length_b 7.0764
_cell_length_c 7.0764
_cell_angle_alpha 32.79
_cell_angle_beta 32.79
_cell_angle_gamma 32.79
_symmetry_space_group_name_H-M 'P 1'
_symmetry_Int_Tables_number 1
loop_
_symmetry_equiv_pos_as_xyz
'x,y,z'
loop_
_atom_site_label
_atom_site_type_symbol
_atom_site_fract_x
_atom_site_fract_y
_atom_site_fract_z
_atom_site_occupancy
Sn1 Sn 0.0000 0.0000 0.0000 1
P1 P 0.2584 0.2584 0.2584 1
P2 P 0.7416 0.7416 0.7416 1
Pb1 Pb 0.5000 0.5000 0.5000 1
```

Computed properties:
space-group type = R-3m, No. 166
density of states at the Fermi level = 1.58 states/eV/f.u.
DFT formation energy = 0.075 eV/atom
magnetic moment = 0.000 μB per atom
distance to the lowest polymorph of the same formula = 0 meV/atom

=====

Entry 2:
Computed, not measured: crystalline SnPPb at its relaxed geometry at the PBE level of DFT.

The structure in CIF format:
```
data_SnPPb
_cell_length_a 3.8807
_cell_length_b 3.8807
_cell_length_c 6.1461
_cell_angle_alpha 90.00
_cell_angle_beta 90.00
_cell_angle_gamma 120.00
_symmetry_space_group_name_H-M 'P 1'
_symmetry_Int_Tables_number 1
loop_
_symmetry_equiv_pos_as_xyz
'x,y,z'
loop_
_atom_site_label
_atom_site_type_symbol
_atom_site_fract_x
_atom_site_fract_y
_atom_site_fract_z
_atom_site_occupancy
Sn1 Sn 0.0000 0.0000 0.0000 1
P1 P 0.3333 0.6667 0.7598 1
Pb1 Pb 0.6667 0.3333 0.4401 1
```

Computed properties:
space-group type = P3m1, No. 156
density of states at the Fermi level = 1.21 states/eV/f.u.
DFT formation energy = 0.042 eV/atom
magnetic moment = 0.000 μB per atom
distance to the lowest polymorph of the same formula = 1 meV/atom

=====

Entry 3:
Computed, not measured: crystalline SnPPb2 at its relaxed geometry at the PBE level of DFT.

The structure in CIF format:
```
data_SnPPb2
_cell_length_a 8.1259
_cell_length_b 8.1259
_cell_length_c 8.1259
_cell_angle_alpha 131.79
_cell_angle_beta 131.79
_cell_angle_gamma 70.56
_symmetry_space_group_name_H-M 'P 1'
_symmetry_Int_Tables_number 1
loop_
_symmetry_equiv_pos_as_xyz
'x,y,z'
loop_
_atom_site_label
_atom_site_type_symbol
_atom_site_fract_x
_atom_site_fract_y
_atom_site_fract_z
_atom_site_occupancy
Sn1 Sn 0.0000 0.0000 0.0000 1
Sn2 Sn 0.7500 0.2500 0.5000 1
P1 P 0.2500 0.7500 0.5000 1
P2 P 0.5000 0.5000 0.0000 1
Pb1 Pb 0.1550 0.6250 0.0300 1
Pb2 Pb 0.3750 0.4050 0.5300 1
Pb3 Pb 0.5950 0.1250 0.9700 1
Pb4 Pb 0.8750 0.8450 0.4700 1
```

Computed properties:
space-group type = I-42d, No. 122
density of states at the Fermi level = 1.80 states/eV/f.u.
DFT formation energy = 0.264 eV/atom
magnetic moment = 0.000 μB per atom
distance to the lowest polymorph of the same formula = 16 meV/atom